# Mg2HOs

An optimized crystal structure of Mg2HOs (PBE-GGA, Alexandria).

Calculated values
Crystal system: triclinic
Distance to the lowest polymorph of the same formula, meV/atom: 41

Cell lengths 4.9831, 4.9959, 5.1582 Å; angles 101.12, 101.37, 117.73 degrees
Element x y z (fractional)
1 H 0.3847 0.6141 0.9988
2 H 0.6153 0.3859 0.0012
3 Mg 0.5837 0.9063 0.7476
4 Mg 0.4163 0.0937 0.2524
5 Mg 0.9051 0.5835 0.7470
6 Mg 0.0949 0.4165 0.2530
7 Os 0.2159 0.2160 0.7229
8 Os 0.7841 0.7840 0.2771


# Pm5PrAu6

An optimized crystal structure of Pm5PrAu6 (PBE-GGA, Alexandria).

Calculated values
ΔH_f (0 K), eV per formula unit: -9.33
Crystal system: monoclinic

Cell lengths 5.2540, 7.3484, 8.3340 Å; angles 90.00, 108.83, 90.00 degrees
Element x y z (fractional)
1 Pm 0.3345 0.5000 0.6674
2 Pm 0.0000 0.5000 0.0000
3 Pm 0.6655 0.5000 0.3326
4 Pm 0.6662 0.0000 0.3336
5 Pm 0.3338 0.0000 0.6664
6 Au 0.8326 0.7483 0.6624
7 Au 0.1674 0.7483 0.3376
8 Au 0.5000 0.7445 0.0000
9 Au 0.5000 0.2555 0.0000
10 Au 0.1674 0.2517 0.3376
11 Au 0.8326 0.2517 0.6624
12 Pr 0.0000 0.0000 0.0000


# TbPd6Au6

An optimized crystal structure of TbPd6Au6 (PBE-GGA, Alexandria).

Calculated values
ΔH_f (0 K), eV per formula unit: -3.52
Crystal system: orthorhombic

Cell lengths 5.4694, 7.1034, 7.1034 Å; angles 81.05, 67.36, 67.36 degrees
Element x y z (fractional)
1 Pd 0.5000 0.0000 0.5000
2 Pd 0.5000 0.2351 0.7649
3 Pd 0.0000 0.5000 0.0000
4 Pd 0.5000 0.5000 0.0000
5 Pd 0.0000 0.0000 0.5000
6 Pd 0.5000 0.7649 0.2351
7 Au 0.0000 0.6664 0.3336
8 Au 0.3419 0.6581 0.6581
9 Au 0.3115 0.1885 0.1885
10 Au 0.6885 0.8115 0.8115
11 Au 0.6581 0.3419 0.3419
12 Au 0.0000 0.3336 0.6664
13 Tb 0.0000 0.0000 0.0000


# IrPdBr2

An optimized crystal structure of IrPdBr2 (PBE-GGA, Alexandria).

Calculated values
Crystal system: trigonal
Distance to the lowest polymorph of the same formula, meV/atom: 0
Raw formation energy, meV/atom: 567.3

Cell lengths 8.0202, 8.0202, 8.0202 Å; angles 26.99, 26.99, 26.99 degrees
Element x y z (fractional)
1 Ir 0.5000 0.5000 0.5000
2 Br 0.8942 0.8942 0.8942
3 Br 0.1058 0.1058 0.1058
4 Pd 0.0000 0.0000 0.0000


# Tm3CoSb

An optimized crystal structure of Tm3CoSb (PBE-GGA, Alexandria).

Calculated values
Crystal system: cubic
Distance to the lowest polymorph of the same formula, meV/atom: 103
Raw formation energy, meV/atom: -393.5

Cell lengths 5.0535, 5.0535, 5.0535 Å; angles 90.00, 90.00, 90.00 degrees
Element x y z (fractional)
1 Tm 0.0000 0.5000 0.0000
2 Tm 0.5000 0.0000 0.0000
3 Tm 0.0000 0.0000 0.5000
4 Co 0.0000 0.0000 0.0000
5 Sb 0.5000 0.5000 0.5000


# Pr7DyEr4

An optimized crystal structure of Pr7DyEr4 (PBE-GGA, Alexandria).

Calculated values
ΔH_f (0 K), eV per formula unit: 2.55
Crystal system: monoclinic
Distance to the lowest polymorph of the same formula, meV/atom: 205

Cell lengths 6.0432, 9.7540, 8.6595 Å; angles 61.90, 69.58, 71.95 degrees
Element x y z (fractional)
1 Er 0.5684 0.3005 0.5626
2 Er 0.4316 0.6995 0.4374
3 Er 0.3315 0.3753 0.9617
4 Er 0.6685 0.6247 0.0383
5 Pr 0.7881 0.8874 0.5365
6 Pr 0.2119 0.1126 0.4635
7 Pr 0.5000 0.0000 0.0000
8 Pr 0.0871 0.5482 0.2775
9 Pr 0.9129 0.4518 0.7225
10 Pr 0.7833 0.2451 0.1883
11 Pr 0.2167 0.7549 0.8117
12 Dy 0.0000 0.0000 0.0000


Number 1: raw total energy -0.1632 hartree per atom. Number 2: raw total energy -0.1762 hartree per atom. Number 3: raw total energy -0.1667 hartree per atom. Number 4: raw total energy -0.1390 hartree per atom. Number 5: raw total energy -0.1956 hartree per atom. Number 6: raw total energy -0.1646 hartree per atom.